(1)
SrLaMo2, relaxed, DFT GGA-PBE; total magnetization = 0.000 μB/atom; symmetry = No. 99; E above lowest polymorph = 0.000 eV/atom; DFT formation energy = 0.421 eV/atom
1.0
3.3610 0.0098 0.0000
-0.0091 3.3610 0.0000
0.0000 0.0000 9.4068
Mo Sr La
2 1 1
direct
0.5000 0.5000 0.1828
0.0000 0.0000 0.0562
0.0000 0.0000 0.4368
0.5000 0.5000 0.8241


(2)
SrLa2Mo, relaxed, DFT GGA-PBE; total magnetization = 0.000 μB/atom; symmetry = No. 44; E above lowest polymorph = 0.150 eV/atom; DFT formation energy = 0.476 eV/atom
1.0
7.0587 0.0104 0.0007
3.8830 5.8947 -0.0007
-4.8748 -4.0569 3.0988
Mo La Sr
1 2 1
direct
0.5279 0.5279 0.0000
0.9956 0.9956 0.0000
0.6802 0.1802 0.5000
0.2963 0.7963 0.5000


(3)
SrLa2Mo, relaxed, DFT GGA-PBE; total magnetization = 0.000 μB/atom; symmetry = No. 65; E above lowest polymorph = 0.000 eV/atom; DFT formation energy = 0.326 eV/atom
1.0
-1.2733 -3.1882 -1.3425
3.4097 -0.9548 1.0247
-3.5012 -2.5190 9.3030
Mo Sr La
1 1 2
direct
0.5000 0.5000 0.2500
0.5000 0.5000 0.7500
0.0000 0.0000 0.4216
0.0000 0.0000 0.0784


(4)
SrLaMo2, relaxed, DFT GGA-PBE; total magnetization = 0.000 μB/atom; symmetry = No. 12; E above lowest polymorph = 0.291 eV/atom; DFT formation energy = 0.712 eV/atom
1.0
5.8431 -0.0077 0.0443
4.5321 3.6882 0.0443
3.4479 1.2231 5.8149
Mo La Sr
2 1 1
direct
0.0130 0.0130 0.8443
0.4870 0.4870 0.6557
0.7500 0.7500 0.7500
0.2500 0.2500 0.2500